(1)
## SiTe2Pb (meta-GGA SCAN)

Data for a PBEsol-optimized structure of SiTe2Pb.

Output
polymorph energy (0 for the lowest one) = 0.000 eV per atom

Lattice parameters (Å, degrees): 14.885 3.778 4.190 90.00 105.59 90.00
Space group Cm (No. 8)
Asymmetric unit:
Si (0.000, 0.000, 0.000) (multiplicity 2)
Te (0.062, 0.500, 0.631) (multiplicity 2)
Te (0.347, 0.000, 0.897) (multiplicity 2)
Pb (0.238, 0.500, 0.278) (multiplicity 2)


(2)
## SiTe2Pb (meta-GGA SCAN)

Data for a PBEsol-optimized structure of SiTe2Pb.

Output
polymorph energy (0 for the lowest one) = 0.056 eV per atom

Lattice parameters (Å, degrees): 4.020 3.832 7.387 90.00 105.01 90.00
Space group P2/m (No. 10)
Asymmetric unit:
Si (0.000, 0.000, 0.000) (multiplicity 1)
Te (0.356, 0.500, 0.235) (multiplicity 2)
Pb (0.000, 0.000, 0.500) (multiplicity 1)


(3)
## Si2TePb (meta-GGA SCAN)

Data for a PBEsol-optimized structure of Si2TePb.

Output
polymorph energy (0 for the lowest one) = 0.180 eV per atom

Lattice parameters (Å, degrees): 10.777 3.628 6.425 90.00 126.56 90.00
Space group C2/m (No. 12)
Asymmetric unit:
Si (0.233, 0.000, 0.112) (multiplicity 4)
Te (0.000, 0.500, 0.000) (multiplicity 2)
Pb (0.000, 0.000, 0.500) (multiplicity 2)


(4)
## TiSiPb3 (meta-GGA SCAN)

Data for a PBEsol-optimized structure of TiSiPb3.

Lattice parameters (Å, degrees): 5.297 5.297 5.297 90.00 90.00 90.00
Space group Pm-3m (No. 221)
Asymmetric unit:
Ti (0.000, 0.000, 0.000) (multiplicity 1)
Si (0.500, 0.500, 0.500) (multiplicity 1)
Pb (0.000, 0.000, 0.500) (multiplicity 3)


(5)
## Ti3SiPb (meta-GGA SCAN)

Data for a PBEsol-optimized structure of Ti3SiPb.

Lattice parameters (Å, degrees): 4.601 4.601 4.601 90.00 90.00 90.00
Space group Pm-3m (No. 221)
Asymmetric unit:
Ti (0.000, 0.000, 0.500) (multiplicity 3)
Si (0.000, 0.000, 0.000) (multiplicity 1)
Pb (0.500, 0.500, 0.500) (multiplicity 1)


(6)
## SiPb2W (meta-GGA SCAN)

Data for a PBEsol-optimized structure of SiPb2W.

Lattice parameters (Å, degrees): 3.666 4.956 8.861 90.00 90.00 90.00
Space group Immm (No. 71)
Asymmetric unit:
Si (0.000, 0.000, 0.000) (multiplicity 2)
Pb (0.000, 0.500, 0.262) (multiplicity 4)
W (0.000, 0.000, 0.500) (multiplicity 2)


(7)
## SiPb2W (meta-GGA SCAN)

Data for a PBEsol-optimized structure of SiPb2W.

Lattice parameters (Å, degrees): 8.467 3.266 6.916 90.00 102.72 90.00
Space group Cm (No. 8)
Asymmetric unit:
Si (0.000, 0.000, 0.000) (multiplicity 2)
Pb (0.254, 0.000, 0.697) (multiplicity 2)
Pb (0.455, 0.000, 0.337) (multiplicity 2)
W (0.217, 0.500, 0.047) (multiplicity 2)


(8)
## SiPb2W (meta-GGA SCAN)

Data for a PBEsol-optimized structure of SiPb2W.

Lattice parameters (Å, degrees): 3.243 3.243 8.370 90.00 90.00 90.00
Space group P4mm (No. 99)
Asymmetric unit:
Si (0.000, 0.000, 0.000) (multiplicity 1)
Pb (0.000, 0.000, 0.374) (multiplicity 1)
Pb (0.500, 0.500, 0.742) (multiplicity 1)
W (0.500, 0.500, 0.118) (multiplicity 1)


Number 1: raw formation energy 0.194 eV per atom. Number 2: raw formation energy 0.251 eV per atom. Number 3: raw formation energy 0.483 eV per atom. Number 4: raw formation energy 0.682 eV per atom. Number 5: raw formation energy 0.042 eV per atom. Number 6: raw formation energy 1.203 eV per atom. Number 7: raw formation energy 0.592 eV per atom. Number 8: raw formation energy 0.406 eV per atom.